P) The following is a DFT calculation (GGA-PBE) of an optimized crystal structure of PmSc2.

Properties
Magnetic moment, μB per formula unit: 0.0
Volume, Å³/atom: 66.2
Space-group type: No. 227

```
PmSc2
1.0
0.000 5.834 5.834
5.834 0.000 5.834
5.834 5.834 0.000
Pm Sc
2 4
Cartesian
1.458 1.458 1.458 Pm
10.209 10.209 10.209 Pm
0.000 0.000 0.000 Sc
2.917 2.917 0.000 Sc
2.917 0.000 2.917 Sc
0.000 2.917 2.917 Sc
```

Q) The following is a DFT calculation (GGA-PBE) of an optimized crystal structure of PmSc2.

Properties
Magnetic moment, μB per formula unit: 3.2
Volume, Å³/atom: 28.8
Space-group type: No. 227

```
PmSc2
1.0
0.000 4.421 4.421
4.421 0.000 4.421
4.421 4.421 0.000
Pm Sc
2 4
Cartesian
1.105 1.105 1.105 Pm
7.737 7.737 7.737 Pm
4.421 2.211 2.211 Sc
2.211 4.421 2.211 Sc
2.211 2.211 4.421 Sc
4.421 4.421 4.421 Sc
```

Last place for stability: P)

P) The following is a DFT calculation (GGA-PBE) of an optimized crystal structure of PmScTl.

Properties
Magnetic moment, μB per formula unit: 0.6
Volume, Å³/atom: 31.0
Space-group type: No. 216

```
PmScTl
1.0
0.000 3.594 3.594
3.594 0.000 3.594
3.594 3.594 0.000
Pm Sc Tl
1 1 1
Cartesian
0.000 0.000 0.000 Pm
3.594 3.594 3.594 Sc
1.797 1.797 1.797 Tl
```

Q) The following is a DFT calculation (GGA-PBE) of an optimized crystal structure of PmScTl.

Properties
Magnetic moment, μB per formula unit: 0.5
Volume, Å³/atom: 31.8
Space-group type: No. 216

```
PmScTl
1.0
0.000 3.628 3.628
3.628 0.000 3.628
3.628 3.628 0.000
Pm Sc Tl
1 1 1
Cartesian
0.000 0.000 0.000 Pm
5.442 5.442 5.442 Sc
1.814 1.814 1.814 Tl
```

Last place for stability: Q)

P) The following is a DFT calculation (GGA-PBE) of an optimized crystal structure of PmScZn.

Properties
Magnetic moment, μB per formula unit: 0.1
Volume, Å³/atom: 26.9
Space-group type: No. 216

```
PmScZn
1.0
0.000 3.429 3.429
3.429 0.000 3.429
3.429 3.429 0.000
Pm Sc Zn
1 1 1
Cartesian
0.000 0.000 0.000 Pm
3.429 3.429 3.429 Sc
1.715 1.715 1.715 Zn
```

Q) The following is a DFT calculation (GGA-PBE) of an optimized crystal structure of PmScZn.

Properties
Magnetic moment, μB per formula unit: 0.0
Volume, Å³/atom: 27.0
Space-group type: No. 216

```
PmScZn
1.0
0.000 3.432 3.432
3.432 0.000 3.432
3.432 3.432 0.000
Pm Sc Zn
1 1 1
Cartesian
0.000 0.000 0.000 Pm
5.149 5.149 5.149 Sc
1.716 1.716 1.716 Zn
```

Last place for stability: Q)

P) The following is a DFT calculation (GGA-PBE) of an optimized crystal structure of PmZrSc.

Properties
Magnetic moment, μB per formula unit: 0.3
Volume, Å³/atom: 30.4
Space-group type: No. 216

```
PmZrSc
1.0
0.000 3.574 3.574
3.574 0.000 3.574
3.574 3.574 0.000
Pm Zr Sc
1 1 1
Cartesian
0.000 0.000 0.000 Pm
3.574 3.574 3.574 Zr
1.787 1.787 1.787 Sc
```

Q) The following is a DFT calculation (GGA-PBE) of an optimized crystal structure of PmZrSc.

Properties
Magnetic moment, μB per formula unit: 1.6
Volume, Å³/atom: 30.4
Space-group type: No. 216

```
PmZrSc
1.0
0.000 3.572 3.572
3.572 0.000 3.572
3.572 3.572 0.000
Pm Zr Sc
1 1 1
Cartesian
0.000 0.000 0.000 Pm
1.786 1.786 1.786 Zr
5.358 5.358 5.358 Sc
```

Last place for stability: Q)

P) The following is a DFT calculation (GGA-PBE) of an optimized crystal structure of PmSe2.

Properties
Magnetic moment, μB per formula unit: 0.6
Volume, Å³/atom: 24.0
Space-group type: No. 227

```
PmSe2
1.0
0.000 4.157 4.157
4.157 0.000 4.157
4.157 4.157 0.000
Pm Se
2 4
Cartesian
1.039 1.039 1.039 Pm
7.275 7.275 7.275 Pm
4.157 2.079 2.079 Se
2.079 4.157 2.079 Se
2.079 2.079 4.157 Se
4.157 4.157 4.157 Se
```

Q) The following is a DFT calculation (GGA-PBE) of an optimized crystal structure of PmSe2.

Properties
Magnetic moment, μB per formula unit: 1.0
Volume, Å³/atom: 86.6
Space-group type: No. 227

```
PmSe2
1.0
0.000 6.382 6.382
6.382 0.000 6.382
6.382 6.382 0.000
Pm Se
2 4
Cartesian
1.595 1.595 1.595 Pm
11.168 11.168 11.168 Pm
0.000 0.000 0.000 Se
3.191 3.191 0.000 Se
3.191 0.000 3.191 Se
0.000 3.191 3.191 Se
```

Last place for stability: P)

P) The following is a DFT calculation (GGA-PBE) of an optimized crystal structure of PmSe.

Properties
Magnetic moment, μB per formula unit: 0.0
Volume, Å³/atom: 26.0
Space-group type: No. 225

```
PmSe
1.0
0.000 2.963 2.963
2.963 0.000 2.963
2.963 2.963 0.000
Pm Se
1 1
Cartesian
0.000 0.000 0.000 Pm
2.963 2.963 2.963 Se
```

Q) The following is a DFT calculation (GGA-PBE) of an optimized crystal structure of PmSe.

Properties
Magnetic moment, μB per formula unit: 0.0
Volume, Å³/atom: 26.6
Space-group type: No. 194

```
PmSe
1.0
4.102 0.000 0.000
-2.051 3.553 0.000
0.000 0.000 7.301
Pm Se
2 2
Cartesian
0.000 0.000 0.000 Pm
0.000 0.000 3.651 Pm
0.000 2.368 1.825 Se
2.051 1.184 5.476 Se
```

R) The following is a DFT calculation (GGA-PBE) of an optimized crystal structure of PmSe.

Properties
Magnetic moment, μB per formula unit: 0.6
Volume, Å³/atom: 26.5
Space-group type: No. 187

```
PmSe
1.0
3.968 0.000 0.000
-1.984 3.437 0.000
0.000 0.000 3.882
Pm Se
1 1
Cartesian
0.000 0.000 0.000 Pm
1.984 1.146 1.941 Se
```

S) The following is a DFT calculation (GGA-PBE) of an optimized crystal structure of PmSe.

Properties
Magnetic moment, μB per formula unit: 0.0
Volume, Å³/atom: 35.3
Space-group type: No. 216

```
PmSe
1.0
0.000 3.281 3.281
3.281 0.000 3.281
3.281 3.281 0.000
Pm Se
1 1
Cartesian
0.000 0.000 0.000 Pm
4.921 4.921 4.921 Se
```

Last place for stability: S)

P) The following is a DFT calculation (GGA-PBE) of an optimized crystal structure of PmZnSi.

Properties
Magnetic moment, μB per formula unit: 0.0
Volume, Å³/atom: 25.7
Space-group type: No. 216

```
PmZnSi
1.0
0.000 3.379 3.379
3.379 0.000 3.379
3.379 3.379 0.000
Pm Zn Si
1 1 1
Cartesian
0.000 0.000 0.000 Pm
1.689 1.689 1.689 Zn
5.068 5.068 5.068 Si
```

Q) The following is a DFT calculation (GGA-PBE) of an optimized crystal structure of PmZnSi.

Properties
Magnetic moment, μB per formula unit: 0.0
Volume, Å³/atom: 20.8
Space-group type: No. 194

```
PmZnSi
1.0
4.159 0.000 0.000
-2.079 3.601 0.000
0.000 0.000 8.349
Pm Zn Si
2 2 2
Cartesian
0.000 0.000 0.000 Pm
0.000 0.000 4.174 Pm
0.000 2.401 2.087 Zn
2.079 1.200 6.262 Zn
0.000 2.401 6.262 Si
2.079 1.200 2.087 Si
```

R) The following is a DFT calculation (GGA-PBE) of an optimized crystal structure of PmZnSi.

Properties
Magnetic moment, μB per formula unit: 0.0
Volume, Å³/atom: 21.7
Space-group type: No. 216

```
PmZnSi
1.0
0.000 3.194 3.194
3.194 0.000 3.194
3.194 3.194 0.000
Pm Zn Si
1 1 1
Cartesian
0.000 0.000 0.000 Pm
1.597 1.597 1.597 Zn
3.194 3.194 3.194 Si
```

S) The following is a DFT calculation (GGA-PBE) of an optimized crystal structure of PmZnSi.

Properties
Magnetic moment, μB per formula unit: 0.0
Volume, Å³/atom: 22.7
Space-group type: No. 216

```
PmZnSi
1.0
0.000 3.239 3.239
3.239 0.000 3.239
3.239 3.239 0.000
Pm Zn Si
1 1 1
Cartesian
0.000 0.000 0.000 Pm
3.239 3.239 3.239 Zn
1.619 1.619 1.619 Si
```

Last place for stability: P)

P) The following is a DFT calculation (GGA-PBE) of an optimized crystal structure of PmZrSi.

Properties
Magnetic moment, μB per formula unit: 2.6
Volume, Å³/atom: 27.6
Space-group type: No. 216

```
PmZrSi
1.0
0.000 3.460 3.460
3.460 0.000 3.460
3.460 3.460 0.000
Pm Zr Si
1 1 1
Cartesian
0.000 0.000 0.000 Pm
1.730 1.730 1.730 Zr
5.190 5.190 5.190 Si
```

Q) The following is a DFT calculation (GGA-PBE) of an optimized crystal structure of PmZrSi.

Properties
Magnetic moment, μB per formula unit: 0.0
Volume, Å³/atom: 25.0
Space-group type: No. 216

```
PmZrSi
1.0
0.000 3.349 3.349
3.349 0.000 3.349
3.349 3.349 0.000
Pm Zr Si
1 1 1
Cartesian
0.000 0.000 0.000 Pm
3.349 3.349 3.349 Zr
1.675 1.675 1.675 Si
```

Last place for stability: P)

P) The following is a DFT calculation (GGA-PBE) of an optimized crystal structure of Pm2Sn.

Properties
Magnetic moment, μB per formula unit: 0.9
Volume, Å³/atom: 105.0
Space-group type: No. 227

```
Pm2Sn
1.0
0.000 6.805 6.805
6.805 0.000 6.805
6.805 6.805 0.000
Pm Sn
4 2
Cartesian
0.000 0.000 0.000 Pm
3.402 3.402 0.000 Pm
3.402 0.000 3.402 Pm
0.000 3.402 3.402 Pm
1.701 1.701 1.701 Sn
11.909 11.909 11.909 Sn
```

Q) The following is a DFT calculation (GGA-PBE) of an optimized crystal structure of Pm2Sn.

Properties
Magnetic moment, μB per formula unit: 0.0
Volume, Å³/atom: 30.2
Space-group type: No. 227

```
Pm2Sn
1.0
0.000 4.489 4.489
4.489 0.000 4.489
4.489 4.489 0.000
Pm Sn
4 2
Cartesian
0.000 0.000 0.000 Pm
2.245 2.245 0.000 Pm
2.245 0.000 2.245 Pm
0.000 2.245 2.245 Pm
3.367 3.367 3.367 Sn
5.611 5.611 5.611 Sn
```

Last place for stability: P)

P) The following is a DFT calculation (GGA-PBE) of an optimized crystal structure of PmTa.

Properties
Magnetic moment, μB per formula unit: 0.0
Volume, Å³/atom: 22.6
Space-group type: No. 194

```
PmTa
1.0
3.630 0.000 0.000
-1.815 3.144 0.000
0.000 0.000 7.937
Pm Ta
2 2
Cartesian
0.000 0.000 0.000 Pm
0.000 0.000 3.968 Pm
0.000 2.096 1.984 Ta
1.815 1.048 5.953 Ta
```

Q) The following is a DFT calculation (GGA-PBE) of an optimized crystal structure of PmTa.

Properties
Magnetic moment, μB per formula unit: 0.0
Volume, Å³/atom: 29.8
Space-group type: No. 194

```
PmTa
1.0
5.262 0.000 0.000
-2.631 4.557 0.000
0.000 0.000 4.970
Pm Ta
2 2
Cartesian
0.000 3.038 1.243 Pm
2.631 1.519 3.728 Pm
0.000 0.000 0.000 Ta
0.000 0.000 2.485 Ta
```

Last place for stability: P)

P) The following is a DFT calculation (GGA-PBE) of an optimized crystal structure of PmTa.

Properties
Magnetic moment, μB per formula unit: 0.0
Volume, Å³/atom: 27.1
Space-group type: No. 225

```
PmTa
1.0
0.000 3.002 3.002
3.002 0.000 3.002
3.002 3.002 0.000
Pm Ta
1 1
Cartesian
0.000 0.000 0.000 Pm
3.002 3.002 3.002 Ta
```

Q) The following is a DFT calculation (GGA-PBE) of an optimized crystal structure of PmTa.

Properties
Magnetic moment, μB per formula unit: 0.6
Volume, Å³/atom: 33.9
Space-group type: No. 216

```
PmTa
1.0
0.000 3.237 3.237
3.237 0.000 3.237
3.237 3.237 0.000
Pm Ta
1 1
Cartesian
0.000 0.000 0.000 Pm
4.856 4.856 4.856 Ta
```

Last place for stability: Q)

P) The following is a DFT calculation (GGA-PBE) of an optimized crystal structure of Pm2Ta.

Properties
Magnetic moment, μB per formula unit: 0.0
Volume, Å³/atom: 74.2
Space-group type: No. 227

```
Pm2Ta
1.0
0.000 6.062 6.062
6.062 0.000 6.062
6.062 6.062 0.000
Pm Ta
4 2
Cartesian
0.000 0.000 0.000 Pm
3.031 3.031 0.000 Pm
3.031 0.000 3.031 Pm
0.000 3.031 3.031 Pm
1.515 1.515 1.515 Ta
10.608 10.608 10.608 Ta
```

Q) The following is a DFT calculation (GGA-PBE) of an optimized crystal structure of Pm2Ta.

Properties
Magnetic moment, μB per formula unit: 1.5
Volume, Å³/atom: 31.3
Space-group type: No. 225

```
Pm2Ta
1.0
0.000 3.606 3.606
3.606 0.000 3.606
3.606 3.606 0.000
Pm Ta
2 1
Cartesian
1.803 1.803 1.803 Pm
5.409 5.409 5.409 Pm
0.000 0.000 0.000 Ta
```

Last place for stability: P)